Entry 1:
PaHgPd | PBE-GGA | relaxed

Unit cell a=4.701 b=4.701 c=4.701 alpha=60.00 beta=60.00 gamma=60.00
Atoms (fractional coordinates):
Pa (0.750, 0.750, 0.750)
Pd (0.000, 0.000, 0.000)
Hg (0.250, 0.250, 0.250)

Values from the calculation:
**Energy of formation**: -157.3 meV/atom
**SG**: F-43m
**Polymorph energy (0 for the lowest one)**: 0.0 meV per atom
**Spin magnetization**: 1.1 μB/f.u.



Entry 2:
SnHPd3 | PBE-GGA | relaxed

Unit cell a=5.758 b=5.758 c=5.758 alpha=119.54 beta=90.80 gamma=119.54
Atoms (fractional coordinates):
Pd (0.248, 0.998, 0.250)
Pd (0.251, 0.000, 0.751)
Pd (0.749, 0.500, 0.749)
Sn (0.750, 0.500, 0.250)
Pd (0.251, 0.500, 0.251)
Sn (0.250, 0.500, 0.750)
Pd (0.749, 0.000, 0.249)
Pd (0.752, 0.002, 0.750)
H (0.000, 0.000, 0.000)
H (0.500, 0.000, 0.500)

Values from the calculation:
**SG**: Imma
**E_tot**: -4.9737 eV/atom



Entry 3:
Dy2Tm3Lu2Ni2Te2 | PBE-GGA | relaxed

Unit cell a=9.271 b=9.271 c=9.271 alpha=156.12 beta=67.12 gamma=118.32
Atoms (fractional coordinates):
Dy (0.691, 0.377, 0.315)
Dy (0.062, 0.377, 0.685)
Lu (0.375, 0.729, 0.646)
Tm (0.001, 0.001, 0.000)
Tm (0.448, 0.582, 0.866)
Te (0.733, 0.233, 0.500)
Ni (0.834, 0.070, 0.764)
Ni (0.306, 0.070, 0.236)
Lu (0.083, 0.729, 0.354)
Te (0.339, 0.339, 0.000)
Tm (0.716, 0.582, 0.134)

Values from the calculation:
**SG**: Imm2
**Polymorph energy (0 for the lowest one)**: 17.2 meV per atom
**Spin magnetization**: 0.0 μB/f.u.